[1]
Compound: Dy3Er4ScS8
Source: Alexandria
Functional: PBE
Structure: optimized geometry

Its total energy is -6.410 eV per atom. The uncorrected formation energy comes out at -31.1 eV per formula unit. As for the density of states at the Fermi level: 28.4 states/eV per cell. The calculation puts the size of the total moment at 0.00 μB/cell.

The space group is R-3m (No. 166, hexagonal axes) and the conventional cell measures 7.7247, 7.7247 and 18.9153 Å, with angles of 90.00, 90.00 and 120.00 degrees. The asymmetric unit holds Dy at (0.0000, 0.5000, 0.0000), Er at (0.0000, 0.0000, 0.5000), Er at (0.0000, 0.5000, 0.5000), Sc at (0.0000, 0.0000, 0.0000), S at (0.0000, 0.0000, 0.2486) and S at (0.0069, 0.5035, 0.7496).

***

[2]
Compound: LiSmYSb
Source: Alexandria
Functional: PBE
Structure: optimized geometry

Its total energy is -4.785 eV per atom. The uncorrected formation energy comes out at -1.9 eV per formula unit. As for the density of states at the Fermi level: 14.7 states/eV per cell. The calculation puts the size of the total moment at 0.00 μB/cell.

The space group is F-43m (No. 216) and the conventional cell measures 7.429, 7.429 and 7.429 Å, with angles of 90.00, 90.00 and 90.00 degrees. The asymmetric unit holds Li at (0.000, 0.000, 0.000), Sm at (0.250, 0.250, 0.250), Y at (0.250, 0.250, 0.750) and Sb at (0.000, 0.000, 0.500).

***

[3]
Compound: YCd11Ag
Source: Alexandria
Functional: PBE
Structure: optimized geometry

Its total energy is -1.583 eV per atom. As for the density of states at the Fermi level: 10.9 states/eV per cell. The calculation puts the size of the total moment at 0.00 μB/cell.

The space group is C2/m (No. 12) and the conventional cell measures 5.892, 14.057 and 7.614 Å, with angles of 90.00, 112.76 and 90.00 degrees. The asymmetric unit holds Y at (0.000, 0.000, 0.000), Cd at (0.000, 0.500, 0.500), Cd at (0.113, 0.395, 0.214), Cd at (0.171, 0.173, 0.352), Cd at (0.250, 0.250, 0.000) and Ag at (0.000, 0.000, 0.500).